! Mg2SbTe | the Alexandria database | PBE-GGA | relaxed; values from VASP
! Total DFT energy (no corrections) in eV/cell: -36.16
! Symmetry: No. 160
! Total moment in μB/f.u.: 0.0
! E_form (uncorrected) in kJ/mol of atoms: -38.6
&SYSTEM
  ibrav = 0, nat = 12, ntyp = 3
/
ATOMIC_SPECIES
Mg 24.30 Mg.upf
Sb 121.76 Sb.upf
Te 127.60 Te.upf
CELL_PARAMETERS angstrom
4.022 0.000 0.000
-2.011 3.483 0.000
0.000 0.000 22.984
ATOMIC_POSITIONS angstrom
Mg 0.000 0.000 0.000
Mg 0.000 0.000 4.000
Mg 0.000 2.322 15.323
Mg 0.000 2.322 19.323
Mg 2.011 1.161 7.661
Mg 2.011 1.161 11.662
Sb 0.000 0.000 17.346
Sb 0.000 2.322 9.684
Sb 2.011 1.161 2.023
Te 0.000 0.000 13.462
Te 0.000 2.322 5.800
Te 2.011 1.161 21.123